# 1
TiCu3S | GGA-PBEsol | optimized geometry

**N(E_F)**: 3.35 states/eV per cell
**E**: -4.610 eV/atom
**Crystal system**: cubic
**ΔE_f (raw)**: 0.531 eV per atom

a b c (Å): 4.236 4.236 4.236
angles (deg): 90.00 90.00 90.00
Element x y z (fractional)
Ti1 0.000 0.000 0.000
Cu1 0.000 0.500 0.500
Cu2 0.500 0.000 0.500
Cu3 0.500 0.500 0.000
S1 0.500 0.500 0.500

=====

# 2
TiVCuS4 | GGA-PBEsol | optimized geometry

**N(E_F)**: 7.15 states/eV per cell
**E**: -6.705 eV/atom
**Crystal system**: orthorhombic
**ΔE_f (raw)**: -1.016 eV per atom

a b c (Å): 6.915 6.915 6.915
angles (deg): 119.91 119.86 90.20
Element x y z (fractional)
Ti1 0.000 0.000 0.000
Ti2 0.500 0.000 0.500
V1 0.500 0.000 0.000
V2 0.500 0.500 0.500
Cu1 0.123 0.373 0.750
Cu2 0.877 0.627 0.250
S1 0.256 0.248 0.493
S2 0.256 0.763 0.007
S3 0.261 0.248 0.013
S4 0.266 0.752 0.513
S5 0.734 0.248 0.487
S6 0.739 0.752 0.987
S7 0.744 0.237 0.993
S8 0.744 0.752 0.507

=====

# 3
ZrTiCuS4 | GGA-PBEsol | optimized geometry

**N(E_F)**: 6.32 states/eV per cell
**E**: -6.900 eV/atom
**Crystal system**: orthorhombic
**ΔE_f (raw)**: -1.288 eV per atom

a b c (Å): 7.129 7.129 7.129
angles (deg): 120.73 119.13 90.12
Element x y z (fractional)
Zr1 0.000 0.000 0.000
Zr2 0.500 0.000 0.500
Ti1 0.500 0.000 0.000
Ti2 0.500 0.500 0.500
Cu1 0.119 0.369 0.750
Cu2 0.881 0.631 0.250
S1 0.257 0.260 0.503
S2 0.257 0.754 0.997
S3 0.260 0.747 0.513
S4 0.266 0.253 0.013
S5 0.734 0.747 0.987
S6 0.740 0.253 0.487
S7 0.743 0.246 0.003
S8 0.743 0.740 0.497

=====

# 4
TlCuS2 | GGA-PBEsol | optimized geometry

**N(E_F)**: 0.78 states/eV per cell
**E**: -4.175 eV/atom
**Crystal system**: tetragonal
**ΔE_f (raw)**: -0.242 eV per atom

a b c (Å): 5.577 5.577 11.172
angles (deg): 90.00 90.00 90.00
Element x y z (fractional)
Tl1 0.000 0.000 0.000
Tl2 0.000 0.500 0.250
Tl3 0.500 0.000 0.750
Tl4 0.500 0.500 0.500
Cu1 0.000 0.000 0.500
Cu2 0.000 0.500 0.750
Cu3 0.500 0.000 0.250
Cu4 0.500 0.500 0.000
S1 0.201 0.250 0.625
S2 0.250 0.701 0.875
S3 0.250 0.799 0.375
S4 0.299 0.250 0.125
S5 0.701 0.750 0.125
S6 0.750 0.201 0.375
S7 0.750 0.299 0.875
S8 0.799 0.750 0.625